This record from Alexandria describes crystalline Dy4Y2Zr at its relaxed geometry. The functional is PBE-GGA.

Calculated values
Energy relative to the elements ... 0.0440 eV per atom
Total magnetization ... 0.0 Bohr magnetons per cell

Cell lengths 3.525, 3.525, 19.735 Å; angles 90.00, 90.00, 120.00 degrees
Element x y z (fractional)
Dy1 0.381 0.763 0.535
Dy2 0.381 0.763 0.799
Dy3 0.047 0.095 0.240
Dy4 0.048 0.096 0.949
Zr1 0.715 0.430 0.666
Y1 0.714 0.429 0.094
Y2 0.714 0.429 0.385